Record 1
A relaxed GaHg2Au crystal, computed with PBE-GGA.

a b c (Å): 4.215 4.215 4.939
angles (deg): 90.00 90.00 90.00
Fractional coordinates of all 4 atoms:
Ga (0.000, 0.000, 0.000)
Hg (0.000, 0.500, 0.500)
Hg (0.500, 0.000, 0.500)
Au (0.500, 0.500, 0.000)

Calculated values
density of states at the Fermi level: 0.793 states/eV/cell
total energy: -1.641 eV per atom
space group: No. 123

Record 2
A relaxed GaHgAu6 crystal, computed with PBE-GGA.

a b c (Å): 4.754 6.245 4.969
angles (deg): 90.00 90.00 90.00
Fractional coordinates of all 8 atoms:
Ga (0.000, 0.000, 0.000)
Hg (0.500, 0.500, 0.638)
Au (0.000, 0.241, 0.491)
Au (0.000, 0.500, 0.997)
Au (0.000, 0.759, 0.491)
Au (0.500, 0.000, 0.648)
Au (0.500, 0.239, 0.138)
Au (0.500, 0.761, 0.138)

Calculated values
ΔE to the lowest computed polymorph: 0.000 eV per atom
density of states at the Fermi level: 2.672 states/eV/cell
total energy: -2.873 eV per atom
space group: No. 25

Record 3
A relaxed Ho4GaHg2Au crystal, computed with PBE-GGA.

a b c (Å): 8.913 8.913 8.913
angles (deg): 33.65 33.65 33.65
Fractional coordinates of all 8 atoms:
Ho (0.124, 0.124, 0.124)
Ho (0.374, 0.374, 0.374)
Ho (0.626, 0.626, 0.626)
Ho (0.876, 0.876, 0.876)
Ga (0.500, 0.500, 0.500)
Hg (0.248, 0.248, 0.248)
Hg (0.752, 0.752, 0.752)
Au (0.000, 0.000, 0.000)

Calculated values
density of states at the Fermi level: 5.315 states/eV/cell
total energy: -3.741 eV per atom
space group: No. 166